No. 1
VASP calculation (GGA-PBE) on a geometry-optimized Cs2TlSiF6 structure.

```
data_Cs2TlSiF6
_cell_length_a 6.409
_cell_length_b 6.409
_cell_length_c 11.000
_cell_angle_alpha 90.00
_cell_angle_beta 90.00
_cell_angle_gamma 90.00
_space_group_name_H-M_alt 'I 4/m m m'
_space_group_IT_number 139
_space_group_name_Hall '-I 4 2'
loop_
_atom_site_label
_atom_site_type_symbol
_atom_site_fract_x
_atom_site_fract_y
_atom_site_fract_z
_atom_site_occupancy
Cs1 Cs 0.000 0.500 0.250 1
Tl1 Tl 0.000 0.000 0.000 1
Si1 Si 0.000 0.000 0.500 1
F1 F 0.000 0.000 0.344 1
F2 F 0.190 0.190 0.500 1
```

No. 2
VASP calculation (GGA-PBE) on a geometry-optimized Rb2HgCl structure.

```
data_Rb2HgCl
_cell_length_a 4.120
_cell_length_b 4.120
_cell_length_c 8.912
_cell_angle_alpha 90.00
_cell_angle_beta 90.00
_cell_angle_gamma 90.00
_space_group_name_H-M_alt 'P 4/m m m'
_space_group_IT_number 123
_space_group_name_Hall '-P 4 2'
loop_
_atom_site_label
_atom_site_type_symbol
_atom_site_fract_x
_atom_site_fract_y
_atom_site_fract_z
_atom_site_occupancy
Rb1 Rb 0.000 0.000 0.218 1
Hg1 Hg 0.500 0.500 0.500 1
Cl1 Cl 0.500 0.500 0.000 1
```

One value per record, in order, for energy relative to the elements, uncorrected: -254.59, -95.47 kJ per mole of atoms.